# 1
A plane-wave DFT calculation with PBE was carried out for a geometry-optimized K2TaNi structure.

Properties
energy relative to the elements	581	meV/atom
relative energy among the computed polymorphs	0	meV/atom
theoretical density	4.38	g cm⁻³
V	30.13	Å³/atom
electronic total energy	-4.377	eV per atom
symmetry	P4mm, No. 99

Cell lengths 3.327, 3.327, 10.886 Å; angles 90.00, 90.00, 90.00 degrees
Fractional coordinates of all 4 atoms:
Ta (0.500, 0.500, 0.657)
K (0.500, 0.500, 0.336)
K (0.000, 0.000, 0.932)
Ni (0.000, 0.000, 0.575)



# 2
A plane-wave DFT calculation with PBE was carried out for a geometry-optimized GeBiNO2 structure.

Properties
theoretical density	7.07	g cm⁻³
V	15.39	Å³/atom
raw formation energy	306	meV per atom
electronic total energy	-5.042	eV per atom
symmetry	P4/mmm, No. 123

Cell lengths 4.223, 4.223, 4.314 Å; angles 90.00, 90.00, 90.00 degrees
Fractional coordinates of all 5 atoms:
O (0.000, 0.500, 0.000)
Ge (0.500, 0.500, 0.500)
N (0.000, 0.000, 0.500)
O (0.500, 0.000, 0.000)
Bi (0.000, 0.000, 0.000)



# 3
A plane-wave DFT calculation with PBE was carried out for a geometry-optimized HoTh2Ni6 structure.

Properties
energy relative to the elements	-251	meV/atom
relative energy among the computed polymorphs	165	meV/atom
theoretical density	9.99	g cm⁻³
V	18.13	Å³/atom
electronic total energy	-6.262	eV per atom
symmetry	Immm, No. 71

Cell lengths 3.578, 7.652, 7.652 Å; angles 53.80, 76.48, 76.48 degrees
Fractional coordinates of all 9 atoms:
Th (0.646, 0.854, 0.854)
Ni (0.831, 0.853, 0.486)
Th (0.354, 0.146, 0.146)
Ni (0.169, 0.514, 0.147)
Ni (0.000, 0.181, 0.819)
Ni (0.000, 0.819, 0.181)
Ni (0.831, 0.486, 0.853)
Ni (0.169, 0.147, 0.514)
Ho (0.500, 0.500, 0.500)